# 1
Here is a geometry-optimized PmCoAs structure from Alexandria. Energies are from PBE.

Cell and atoms, written as POSCAR:
```
PmCoAs
1.0
-1.928 -2.493 2.567
-1.226 -2.506 -3.354
7.101 -2.742 -0.547
Pm As Co
2 2 2
Cartesian
3.804 -3.298 -0.345
0.144 -4.443 -0.989
2.725 -6.121 -0.679
1.222 -1.620 -0.655
4.777 -5.581 -1.832
-0.829 -2.160 0.498
```

ΔH_f (0 K): -0.49 eV per atom
Density: 7.10 g/cm3
Relative energy among the computed polymorphs: 32.4 kJ/mol of atoms
Total energy: -5.990 eV per atom
Total magnetic moment: 0.47 μB/atom
Crystal system: orthorhombic



# 2
Here is a geometry-optimized Li2AlAg structure from Alexandria. Energies are from PBE.

Cell and atoms, written as POSCAR:
```
Li2AlAg
1.0
-2.804 0.149 1.021
0.854 -1.322 2.539
1.368 6.333 2.838
Al Li Ag
1 2 1
Cartesian
0.051 4.163 3.908
0.005 0.025 0.011
0.679 3.141 1.407
-0.633 0.996 2.489
```

ΔH_f (0 K): -0.16 eV per atom
Density: 3.91 g/cm3
Total energy: -2.765 eV per atom
Total magnetic moment: 0.00 μB/atom
Crystal system: tetragonal



# 3
Here is a geometry-optimized BeAlW2 structure from Alexandria. Energies are from PBE.

Cell and atoms, written as POSCAR:
```
BeAlW2
1.0
4.840 0.010 0.024
4.083 2.599 0.024
1.090 0.319 4.469
W Be Al
2 1 1
Cartesian
8.762 2.561 0.231
7.587 2.218 3.263
2.384 0.697 1.050
5.211 1.523 2.278
```

ΔH_f (0 K): 0.16 eV per atom
Density: 11.98 g/cm3
Total energy: -8.184 eV per atom
Total magnetic moment: 0.00 μB/atom
Crystal system: monoclinic



Question: Number 3 is which compound?
Answer: BeAlW2



Question: The lowest density belongs to which entry?
Answer: Li2AlAg